# 1
! MnBe2Fe, single point on PBEsol structure, DFT SCAN; values from VASP
! electronic total energy	-45.4	eV per formula unit
! formation enthalpy at 0 K	-0.07	eV per atom
! DOS at the Fermi energy	0.403	states/eV/atom
&SYSTEM
  ibrav = 0, nat = 4, ntyp = 3
/
ATOMIC_SPECIES
Mn 54.94 Mn.upf
Be 9.01 Be.upf
Fe 55.84 Fe.upf
CELL_PARAMETERS angstrom
2.5659 0.0000 0.0000
0.0000 2.5659 0.0000
0.0000 0.0000 5.3705
ATOMIC_POSITIONS crystal
Mn 0.5000 0.5000 0.7495
Be 0.5000 0.5000 0.2404
Be 0.0000 0.0000 0.0184
Fe 0.0000 0.0000 0.4918

---

# 2
! ScBO2, single point on PBEsol structure, DFT SCAN; values from VASP
! electronic total energy	-42.6	eV per formula unit
! uncorrected formation energy	-2.127	eV/atom
! DOS at the Fermi energy	0.068	states/eV/atom
&SYSTEM
  ibrav = 0, nat = 4, ntyp = 3
/
ATOMIC_SPECIES
O 16.00 O.upf
B 10.81 B.upf
Sc 44.96 Sc.upf
CELL_PARAMETERS angstrom
-2.3897 0.0363 -2.6840
-3.2829 -1.3748 0.4983
-3.2662 3.3003 0.5467
ATOMIC_POSITIONS crystal
O 0.1074 0.1074 0.6777
B 0.0000 0.0000 0.0000
Sc 0.5000 0.5000 0.5000
O 0.8926 0.8926 0.3223

---

# 3
! MnReW, single point on PBEsol structure, DFT SCAN; values from VASP
! electronic total energy	-159.1	eV per formula unit
! formation enthalpy at 0 K	-0.03	eV per atom
! DOS at the Fermi energy	0.680	states/eV/atom
&SYSTEM
  ibrav = 0, nat = 3, ntyp = 3
/
ATOMIC_SPECIES
W 183.84 W.upf
Re 186.21 Re.upf
Mn 54.94 Mn.upf
CELL_PARAMETERS angstrom
-1.0814 -2.1518 1.0533
2.1855 -2.4579 -2.7774
1.7293 0.9979 3.8138
ATOMIC_POSITIONS crystal
W 0.3286 0.6667 0.3333
Re 0.6566 0.3333 0.6667
Mn 0.0148 0.0000 0.0000